P.
Density functional theory data (GGA-PBE) for a relaxed Tb5Y2Ho crystal.

Cell: 16.3352 5.6512 11.4331 Å, 90.00 90.13 90.00°
Space group C2/m (No. 12)
One atom of each set of equivalent atoms:
Tb 0.0431 0.0000 0.3858 [4 per cell]
Tb 0.0462 0.0000 0.1115 [4 per cell]
Tb 0.0873 0.5000 0.9189 [4 per cell]
Tb 0.0881 0.5000 0.5774 [4 per cell]
Tb 0.1054 0.5000 0.2496 [4 per cell]
Y 0.2125 0.0000 0.5807 [4 per cell]
Y 0.2132 0.0000 0.9187 [4 per cell]
Ho 0.2273 0.0000 0.2507 [4 per cell]

Output
Size of the total moment in μB per formula unit: 0.000
Theoretical density in g cm⁻³: 7.2

Q.
Density functional theory data (GGA-PBE) for a relaxed Tb5Y2Ho crystal.

Cell: 7.1229 14.2464 5.0266 Å, 90.00 90.00 90.00°
Space group Pbam (No. 55)
One atom of each set of equivalent atoms:
Tb 0.0000 0.0000 0.0000 [2 per cell]
Tb 0.0008 0.2502 0.0000 [4 per cell]
Tb 0.2504 0.3751 0.5000 [4 per cell]
Y 0.2494 0.6247 0.5000 [4 per cell]
Ho 0.0000 0.5000 0.0000 [2 per cell]

Output
Size of the total moment in μB per formula unit: 0.000
Theoretical density in g cm⁻³: 7.4

Most stable structure: Q

P.
Density functional theory data (GGA-PBE) for a relaxed Tb4YHo2 crystal.

Cell: 6.1515 7.9485 9.3990 Å, 85.14 77.17 82.54°
Space group P1 (No. 1)
One atom of each set of equivalent atoms:
Tb 0.0000 0.0000 0.0000 [1 per cell]
Tb 0.0700 0.8572 0.3585 [1 per cell]
Tb 0.2152 0.5738 0.0721 [1 per cell]
Tb 0.2847 0.4306 0.4309 [1 per cell]
Tb 0.4979 0.0005 0.5019 [1 per cell]
Tb 0.7128 0.5730 0.5732 [1 per cell]
Tb 0.7868 0.4300 0.9290 [1 per cell]
Tb 0.9274 0.1434 0.6446 [1 per cell]
Y 0.4281 0.1433 0.1432 [1 per cell]
Y 0.8565 0.2871 0.2870 [1 per cell]
Ho 0.1419 0.7153 0.7158 [1 per cell]
Ho 0.3567 0.2871 0.7868 [1 per cell]
Ho 0.5712 0.8580 0.8579 [1 per cell]
Ho 0.6425 0.7152 0.2150 [1 per cell]

Output
Size of the total moment in μB per formula unit: 0.000
Theoretical density in g cm⁻³: 7.9

Q.
Density functional theory data (GGA-PBE) for a relaxed Tb4YHo2 crystal.

Cell: 16.7519 3.5280 8.7214 Å, 90.00 119.58 90.00°
Space group C2/m (No. 12)
One atom of each set of equivalent atoms:
Tb 0.1404 0.0000 0.3340 [4 per cell]
Tb 0.2045 0.0000 0.7948 [4 per cell]
Y 0.0000 0.5000 0.5000 [2 per cell]
Ho 0.0703 0.5000 0.9300 [4 per cell]

Output
Size of the total moment in μB per formula unit: 0.000
Theoretical density in g cm⁻³: 7.8

Most stable structure: P

P.
Density functional theory data (GGA-PBE) for a relaxed Tb8YHo6 crystal.

Cell: 9.8098 9.8098 5.7895 Å, 90.00 90.00 120.00°
Space group P-3 (No. 147)
One atom of each set of equivalent atoms:
Tb 0.0910 0.4669 0.2357 [6 per cell]
Tb 0.3333 0.6667 0.7246 [2 per cell]
Y 0.0000 0.0000 0.0000 [1 per cell]
Ho 0.0500 0.2744 0.7219 [6 per cell]

Output
Size of the total moment in μB per formula unit: 0.000
Theoretical density in g cm⁻³: 8.1

Q.
Density functional theory data (GGA-PBE) for a relaxed Tb8YHo6 crystal.

Cell: 9.0170 9.0170 20.5820 Å, 90.00 90.00 120.00°
Space group R-3 (No. 148, hexagonal axes)
One atom of each set of equivalent atoms:
Tb 0.0000 0.0000 0.0769 [6 per cell]
Tb 0.0814 0.5532 0.3081 [18 per cell]
Y 0.0000 0.0000 0.5000 [3 per cell]
Ho 0.0579 0.2463 0.2069 [18 per cell]

Output
Size of the total moment in μB per formula unit: 0.004
Theoretical density in g cm⁻³: 8.1

Most stable structure: Q